Record 1
Density functional theory data (SCAN) for Ni3Mo at its PBEsol-relaxed geometry.

```
data_Ni3Mo
_space_group_name_H-M_alt 'P m -3 n'
_space_group_IT_number 223
_space_group_name_Hall '-P 4n 2 3'
_cell_length_a 4.529
_cell_length_b 4.529
_cell_length_c 4.529
_cell_angle_alpha 90.00
_cell_angle_beta 90.00
_cell_angle_gamma 90.00
loop_
_atom_site_label
_atom_site_fract_x
_atom_site_fract_y
_atom_site_fract_z
Ni1 0.000 0.250 0.500
Mo1 0.000 0.000 0.000
```

Properties
- E_tot (eV per atom) = -20.83

***

Record 2
Density functional theory data (SCAN) for ScHgIN2 at its PBEsol-relaxed geometry.

```
data_ScHgIN2
_space_group_name_H-M_alt 'P 4/m m m'
_space_group_IT_number 123
_space_group_name_Hall '-P 4 2'
_cell_length_a 4.142
_cell_length_b 4.142
_cell_length_c 6.074
_cell_angle_alpha 90.00
_cell_angle_beta 90.00
_cell_angle_gamma 90.00
loop_
_atom_site_label
_atom_site_fract_x
_atom_site_fract_y
_atom_site_fract_z
Sc1 0.000 0.000 0.000
Hg1 0.500 0.500 0.500
I1 0.000 0.000 0.500
N1 0.000 0.500 0.000
```

Properties
- E_tot (eV per atom) = -27.00

***

Record 3
Density functional theory data (SCAN) for ZnAsPt5 at its PBEsol-relaxed geometry.

```
data_ZnAsPt5
_space_group_name_H-M_alt 'P 4/m m m'
_space_group_IT_number 123
_space_group_name_Hall '-P 4 2'
_cell_length_a 3.907
_cell_length_b 3.907
_cell_length_c 7.061
_cell_angle_alpha 90.00
_cell_angle_beta 90.00
_cell_angle_gamma 90.00
loop_
_atom_site_label
_atom_site_fract_x
_atom_site_fract_y
_atom_site_fract_z
Zn1 0.000 0.000 0.000
As1 0.500 0.500 0.500
Pt1 0.000 0.500 0.275
Pt2 0.500 0.500 0.000
```

Properties
- E_tot (eV per atom) = -55.34

***

Record 4
Density functional theory data (SCAN) for CsRb2AlF6 at its PBEsol-relaxed geometry.

```
data_CsRb2AlF6
_space_group_name_H-M_alt 'F m -3 m'
_space_group_IT_number 225
_space_group_name_Hall '-F 4 2 3'
_cell_length_a 9.100
_cell_length_b 9.100
_cell_length_c 9.100
_cell_angle_alpha 90.00
_cell_angle_beta 90.00
_cell_angle_gamma 90.00
loop_
_atom_site_label
_atom_site_fract_x
_atom_site_fract_y
_atom_site_fract_z
Cs1 0.000 0.000 0.000
Rb1 0.250 0.250 0.250
Al1 0.000 0.000 0.500
F1 0.000 0.000 0.300
```

Properties
- E_tot (eV per atom) = -14.16

***

Record 5
Density functional theory data (SCAN) for InHPd2 at its PBEsol-relaxed geometry.

```
data_InHPd2
_space_group_name_H-M_alt 'I -4 2 d'
_space_group_IT_number 122
_space_group_name_Hall 'I -4 2bw'
_cell_length_a 6.081
_cell_length_b 6.081
_cell_length_c 5.691
_cell_angle_alpha 90.00
_cell_angle_beta 90.00
_cell_angle_gamma 90.00
loop_
_atom_site_label
_atom_site_fract_x
_atom_site_fract_y
_atom_site_fract_z
In1 0.000 0.000 0.000
H1 0.000 0.000 0.500
Pd1 0.139 0.250 0.625
```

Properties
- E_tot (eV per atom) = -25.93

***

Record 6
Density functional theory data (SCAN) for YAgIr2 at its PBEsol-relaxed geometry.

```
data_YAgIr2
_space_group_name_H-M_alt 'I m m m'
_space_group_IT_number 71
_space_group_name_Hall '-I 2 2'
_cell_length_a 3.119
_cell_length_b 4.761
_cell_length_c 9.193
_cell_angle_alpha 90.00
_cell_angle_beta 90.00
_cell_angle_gamma 90.00
loop_
_atom_site_label
_atom_site_fract_x
_atom_site_fract_y
_atom_site_fract_z
Y1 0.000 0.000 0.000
Ag1 0.000 0.000 0.500
Ir1 0.000 0.500 0.249
```

Properties
- E_tot (eV per atom) = -50.36
- polymorph energy (0 for the lowest one) (meV per atom) = 186.8

***

Record 7
Density functional theory data (SCAN) for CaSnF6 at its PBEsol-relaxed geometry.

```
data_CaSnF6
_space_group_name_H-M_alt 'R -3'
_space_group_IT_number 148
_space_group_name_Hall '-R 3'
_cell_length_a 5.7088
_cell_length_b 5.7088
_cell_length_c 14.6810
_cell_angle_alpha 90.00
_cell_angle_beta 90.00
_cell_angle_gamma 120.00
loop_
_atom_site_label
_atom_site_fract_x
_atom_site_fract_y
_atom_site_fract_z
Ca1 0.0000 0.0000 0.0000
Sn1 0.0000 0.0000 0.5000
F1 0.0220 0.4248 0.2448
```

Properties
- E_tot (eV per atom) = -11.57

***

Record 8
Density functional theory data (SCAN) for Rb2ScInCl6 at its PBEsol-relaxed geometry.

```
data_Rb2ScInCl6
_space_group_name_H-M_alt 'F m -3 m'
_space_group_IT_number 225
_space_group_name_Hall '-F 4 2 3'
_cell_length_a 10.807
_cell_length_b 10.807
_cell_length_c 10.807
_cell_angle_alpha 90.00
_cell_angle_beta 90.00
_cell_angle_gamma 90.00
loop_
_atom_site_label
_atom_site_fract_x
_atom_site_fract_y
_atom_site_fract_z
Rb1 0.250 0.250 0.250
Sc1 0.000 0.000 0.000
In1 0.000 0.000 0.500
Cl1 0.000 0.000 0.228
```

Properties
- E_tot (eV per atom) = -15.70